Record 1
# Na2NiBr, relaxed, DFT PBE
# uncorrected energy	-0.186	Ry/atom
# formation energy (no corrections)	-0.013	eV/atom
# relative energy among the computed polymorphs	0	meV/atom
data_Na2NiBr
_chemical_formula_sum 'Na8 Ni4 Br4'
_cell_length_a 7.6920
_cell_length_b 7.6920
_cell_length_c 8.0241
_cell_angle_alpha 90.00
_cell_angle_beta 90.00
_cell_angle_gamma 90.00
_symmetry_space_group_name_H-M 'I -4 2 d'
_symmetry_Int_Tables_number 122
_symmetry_space_group_name_Hall 'I -4 2bw'
loop_
_atom_site_label
_atom_site_fract_x
_atom_site_fract_y
_atom_site_fract_z
_atom_site_occupancy
Na1 0.2392 0.2500 0.1250 1
Ni1 0.0000 0.0000 0.5000 1
Br1 0.0000 0.0000 0.0000 1

Record 2
# NaNiBr, relaxed, DFT PBE
# uncorrected energy	-0.244	Ry/atom
# formation energy (no corrections)	-0.399	eV/atom
# relative energy among the computed polymorphs	0	meV/atom
data_NaNiBr
_chemical_formula_sum 'Na4 Ni4 Br4'
_cell_length_a 6.7990
_cell_length_b 3.9233
_cell_length_c 10.6832
_cell_angle_alpha 90.00
_cell_angle_beta 102.21
_cell_angle_gamma 90.00
_symmetry_space_group_name_H-M 'C 1 m 1'
_symmetry_Int_Tables_number 8
loop_
_symmetry_equiv_pos_as_xyz
'x,y,z'
'x,-y,z'
'x+1/2,y+1/2,z'
'x+1/2,-y+1/2,z'
loop_
_atom_site_label
_atom_site_fract_x
_atom_site_fract_y
_atom_site_fract_z
_atom_site_occupancy
Na1 0.0000 0.0000 0.0000 1
Na2 0.2165 0.0000 0.6442 1
Ni1 0.3150 0.5000 0.4395 1
Ni2 0.4667 0.0000 0.3943 1
Br1 0.1084 0.5000 0.8220 1
Br2 0.3895 0.0000 0.1700 1

Record 3
# NaNi2Br, relaxed, DFT PBE
# uncorrected energy	-0.245	Ry/atom
# formation energy (no corrections)	0.307	eV/atom
# relative energy among the computed polymorphs	0	meV/atom
data_NaNi2Br
_chemical_formula_sum 'Na4 Ni8 Br4'
_cell_length_a 4.8431
_cell_length_b 4.8431
_cell_length_c 15.3048
_cell_angle_alpha 90.00
_cell_angle_beta 90.00
_cell_angle_gamma 90.00
_symmetry_space_group_name_H-M 'I 41/a m d'
_symmetry_Int_Tables_number 141
loop_
_symmetry_equiv_pos_as_xyz
'x,y,z'
'-x,-y,-z'
'-y+1/4,x+3/4,z+1/4'
'y+1/4,-x+3/4,-z+1/4'
'-x+1/2,-y,z+1/2'
'x+1/2,y,-z+1/2'
'y+1/4,-x+1/4,z+3/4'
'-y+1/4,x+1/4,-z+3/4'
'x,-y,-z'
'-x,y,z'
'-y+1/4,-x+1/4,-z+3/4'
'y+1/4,x+1/4,z+3/4'
'-x+1/2,y,-z+1/2'
'x+1/2,-y,z+1/2'
'y+1/4,x+3/4,-z+1/4'
'-y+1/4,-x+3/4,z+1/4'
'x+1/2,y+1/2,z+1/2'
'-x+1/2,-y+1/2,-z+1/2'
'-y+3/4,x+1/4,z+3/4'
'y+3/4,-x+1/4,-z+3/4'
'-x,-y+1/2,z'
'x,y+1/2,-z'
'y+3/4,-x+3/4,z+1/4'
'-y+3/4,x+3/4,-z+1/4'
'x+1/2,-y+1/2,-z+1/2'
'-x+1/2,y+1/2,z+1/2'
'-y+3/4,-x+3/4,-z+1/4'
'y+3/4,x+3/4,z+1/4'
'-x,y+1/2,-z'
'x,-y+1/2,z'
'y+3/4,x+1/4,-z+3/4'
'-y+3/4,-x+1/4,z+3/4'
loop_
_atom_site_label
_atom_site_fract_x
_atom_site_fract_y
_atom_site_fract_z
_atom_site_occupancy
Na1 0.0000 0.2500 0.3750 1
Ni1 0.0000 0.0000 0.0000 1
Br1 0.0000 0.2500 0.8750 1